# HoInI6 | the Open Quantum Materials Database | PBE | optimized geometry
data_HoInI6
_chemical_formula_sum 'Ho2 In2 I12'
_space_group_name_H-M_alt 'C 1 2 1'
_space_group_IT_number 5
_space_group_name_Hall 'C 2y'
_cell_length_a 7.577
_cell_length_b 13.143
_cell_length_c 7.781
_cell_angle_alpha 90.00
_cell_angle_beta 108.44
_cell_angle_gamma 90.00
loop_
_atom_site_label
_atom_site_fract_x
_atom_site_fract_y
_atom_site_fract_z
_atom_site_occupancy
Ho1 0.000 0.000 0.000 1
In1 0.000 0.668 0.000 1
I1 0.219 0.831 0.239 1
I2 0.242 0.658 0.766 1
I3 0.249 0.514 0.236 1
# V	735.1	Å³/cell
# final energy	-48.04	eV/cell